DFT (GGA-PBE) results for HfTlPb2 after structural relaxation.

a = 4.216 Å, b = 4.216 Å, c = 8.493 Å
α = 75.63°, β = 75.63°, γ = 60.00°
Atoms (fractional coordinates):
Pb 0.264 0.264 0.209
Tl 0.499 0.499 0.504
Hf 0.667 0.667 0.999
Pb 0.071 0.071 0.788

Calculated values
E_tot (eV/f.u.): -18.24
Theoretical density (Mg/m³): 10.57
Energy relative to the elements (kcal/mol of atoms): 8.6